# PBE Ga2SnBPd, relaxed
data_Ga2SnBPd
_space_group_name_H-M_alt 'P 4/m m m'
_space_group_IT_number 123
_space_group_name_Hall '-P 4 2'
_cell_length_a 5.252
_cell_length_b 5.252
_cell_length_c 5.043
_cell_angle_alpha 90.00
_cell_angle_beta 90.00
_cell_angle_gamma 90.00
loop_
_atom_site_label
_atom_site_type_symbol
_atom_site_fract_x
_atom_site_fract_y
_atom_site_fract_z
Ga1 Ga 0.000 0.500 0.000
Sn1 Sn 0.000 0.000 0.000
B1 B 0.500 0.500 0.500
Pd1 Pd 0.000 0.000 0.500
# Total moment = 0.0 μB/cell
# E_tot = -2.997 eV per atom
# ΔE_f = 1388.7 meV/atom

***

# PBE SrGaB2Pd, relaxed
data_SrGaB2Pd
_space_group_name_H-M_alt 'P 4/m m m'
_space_group_IT_number 123
_space_group_name_Hall '-P 4 2'
_cell_length_a 5.009
_cell_length_b 5.009
_cell_length_c 5.339
_cell_angle_alpha 90.00
_cell_angle_beta 90.00
_cell_angle_gamma 90.00
loop_
_atom_site_label
_atom_site_type_symbol
_atom_site_fract_x
_atom_site_fract_y
_atom_site_fract_z
Sr1 Sr 0.000 0.000 0.000
Ga1 Ga 0.500 0.500 0.500
B1 B 0.000 0.500 0.000
Pd1 Pd 0.000 0.000 0.500
# Total moment = 0.0 μB/cell
# E_tot = -2.510 eV per atom
# ΔE_f = 2141.2 meV/atom

***

# PBE GaTc2BPd, relaxed
data_GaTc2BPd
_space_group_name_H-M_alt 'P 4/m m m'
_space_group_IT_number 123
_space_group_name_Hall '-P 4 2'
_cell_length_a 4.665
_cell_length_b 4.665
_cell_length_c 3.638
_cell_angle_alpha 90.00
_cell_angle_beta 90.00
_cell_angle_gamma 90.00
loop_
_atom_site_label
_atom_site_type_symbol
_atom_site_fract_x
_atom_site_fract_y
_atom_site_fract_z
Ga1 Ga 0.000 0.000 0.000
Tc1 Tc 0.000 0.500 0.000
B1 B 0.000 0.000 0.500
Pd1 Pd 0.500 0.500 0.500
# Total moment = 0.0 μB/cell
# E_tot = -5.565 eV per atom
# ΔE_f = 1560.6 meV/atom

***

Question: Which formula does entry 2 have?
Answer: SrGaB2Pd

***

Repeat the third record exactly.
# PBE GaTc2BPd, relaxed
data_GaTc2BPd
_space_group_name_H-M_alt 'P 4/m m m'
_space_group_IT_number 123
_space_group_name_Hall '-P 4 2'
_cell_length_a 4.665
_cell_length_b 4.665
_cell_length_c 3.638
_cell_angle_alpha 90.00
_cell_angle_beta 90.00
_cell_angle_gamma 90.00
loop_
_atom_site_label
_atom_site_type_symbol
_atom_site_fract_x
_atom_site_fract_y
_atom_site_fract_z
Ga1 Ga 0.000 0.000 0.000
Tc1 Tc 0.000 0.500 0.000
B1 B 0.000 0.000 0.500
Pd1 Pd 0.500 0.500 0.500
# Total moment = 0.0 μB/cell
# E_tot = -5.565 eV per atom
# ΔE_f = 1560.6 meV/atom

***

Copy entry 3 word for word.
# PBE GaTc2BPd, relaxed
data_GaTc2BPd
_space_group_name_H-M_alt 'P 4/m m m'
_space_group_IT_number 123
_space_group_name_Hall '-P 4 2'
_cell_length_a 4.665
_cell_length_b 4.665
_cell_length_c 3.638
_cell_angle_alpha 90.00
_cell_angle_beta 90.00
_cell_angle_gamma 90.00
loop_
_atom_site_label
_atom_site_type_symbol
_atom_site_fract_x
_atom_site_fract_y
_atom_site_fract_z
Ga1 Ga 0.000 0.000 0.000
Tc1 Tc 0.000 0.500 0.000
B1 B 0.000 0.000 0.500
Pd1 Pd 0.500 0.500 0.500
# Total moment = 0.0 μB/cell
# E_tot = -5.565 eV per atom
# ΔE_f = 1560.6 meV/atom

***

Question: What is the formula in the second record?
Answer: SrGaB2Pd